[1]
The following is a PBE-GGA calculation of a relaxed structure of YIO2, from the Alexandria database.

- Formation energy (no corrections): -0.419 eV/atom
- Distance to the lowest polymorph of the same formula: 1.6631 eV per atom

Cell: 3.968 3.968 17.994 Å, 90.00 90.00 120.00°
Positions (direct):
Y (0.000, 0.000, 0.000)
Y (0.333, 0.667, 0.667)
Y (0.667, 0.333, 0.333)
I (0.000, 0.000, 0.500)
I (0.333, 0.667, 0.167)
I (0.667, 0.333, 0.833)
O (0.000, 0.000, 0.122)
O (0.000, 0.000, 0.878)
O (0.333, 0.667, 0.544)
O (0.333, 0.667, 0.789)
O (0.667, 0.333, 0.211)
O (0.667, 0.333, 0.456)

=====

[2]
The following is a PBE-GGA calculation of a relaxed structure of Hf3ThP4N12, from the Alexandria database.

- Formation energy (no corrections): -0.906 eV/atom

Cell: 6.684 6.684 6.684 Å, 104.57 104.57 104.57°
Positions (direct):
Hf (0.000, 0.552, 0.448)
Hf (0.448, 0.000, 0.552)
Hf (0.552, 0.448, 0.000)
Th (0.000, 0.000, 0.000)
P (0.051, 0.500, 0.949)
P (0.500, 0.500, 0.500)
P (0.500, 0.949, 0.051)
P (0.949, 0.051, 0.500)
N (0.029, 0.640, 0.791)
N (0.097, 0.903, 0.500)
N (0.209, 0.360, 0.971)
N (0.351, 0.649, 0.500)
N (0.360, 0.971, 0.209)
N (0.500, 0.097, 0.903)
N (0.500, 0.351, 0.649)
N (0.640, 0.791, 0.029)
N (0.649, 0.500, 0.351)
N (0.791, 0.029, 0.640)
N (0.903, 0.500, 0.097)
N (0.971, 0.209, 0.360)

=====

[3]
The following is a PBE-GGA calculation of a relaxed structure of La2TlCu, from the Alexandria database.

Cell: 12.465 3.734 5.204 Å, 90.00 114.64 90.00°
Positions (direct):
La (0.000, 0.000, 0.000)
La (0.211, 0.000, 0.711)
La (0.500, 0.500, 0.000)
La (0.711, 0.500, 0.711)
Tl (0.296, 0.500, 0.296)
Tl (0.796, 0.000, 0.296)
Cu (0.484, 0.000, 0.485)
Cu (0.984, 0.500, 0.485)

=====

[4]
The following is a PBE-GGA calculation of a relaxed structure of CsZr6MnCl14, from the Alexandria database.

- Formation energy (no corrections): -1.674 eV/atom

Cell: 9.967 9.967 12.133 Å, 90.00 90.00 84.34°
Positions (direct):
Cs (0.000, 0.000, 0.000)
Cs (0.500, 0.500, 0.500)
Zr (0.047, 0.191, 0.617)
Zr (0.148, 0.852, 0.611)
Zr (0.191, 0.047, 0.383)
Zr (0.309, 0.453, 0.883)
Zr (0.352, 0.648, 0.111)
Zr (0.453, 0.309, 0.117)
Zr (0.547, 0.691, 0.883)
Zr (0.648, 0.352, 0.889)
Zr (0.691, 0.547, 0.117)
Zr (0.809, 0.953, 0.617)
Zr (0.852, 0.148, 0.389)
Zr (0.953, 0.809, 0.383)
Mn (0.000, 0.000, 0.500)
Mn (0.500, 0.500, 0.000)
Cl (0.038, 0.204, 0.254)
Cl (0.104, 0.396, 0.750)
Cl (0.116, 0.641, 0.494)
Cl (0.141, 0.616, 0.994)
Cl (0.158, 0.842, 0.247)
Cl (0.204, 0.038, 0.746)
Cl (0.248, 0.248, 0.500)
Cl (0.252, 0.252, 0.000)
Cl (0.296, 0.462, 0.246)
Cl (0.342, 0.658, 0.747)
Cl (0.359, 0.884, 0.494)
Cl (0.384, 0.859, 0.994)
Cl (0.396, 0.104, 0.250)
Cl (0.462, 0.296, 0.754)
Cl (0.538, 0.704, 0.246)
Cl (0.604, 0.896, 0.750)
Cl (0.616, 0.141, 0.006)
Cl (0.641, 0.116, 0.506)
Cl (0.658, 0.342, 0.253)
Cl (0.704, 0.538, 0.754)
Cl (0.748, 0.748, 0.000)
Cl (0.752, 0.752, 0.500)
Cl (0.796, 0.962, 0.254)
Cl (0.842, 0.158, 0.753)
Cl (0.859, 0.384, 0.006)
Cl (0.884, 0.359, 0.506)
Cl (0.896, 0.604, 0.250)
Cl (0.962, 0.796, 0.746)

=====

[5]
The following is a PBE-GGA calculation of a relaxed structure of MgTlAu4, from the Alexandria database.

Cell: 5.616 5.616 5.616 Å, 60.00 60.00 60.00°
Positions (direct):
Mg (0.000, 0.000, 0.000)
Tl (0.750, 0.750, 0.750)
Au (0.375, 0.375, 0.375)
Au (0.375, 0.375, 0.876)
Au (0.375, 0.876, 0.375)
Au (0.876, 0.375, 0.375)

=====

[6]
The following is a PBE-GGA calculation of a relaxed structure of Th3Zn2Cu4, from the Alexandria database.

Cell: 5.691 5.691 8.469 Å, 112.55 112.55 46.38°
Positions (direct):
Th (0.000, 0.000, 0.000)
Th (0.340, 0.340, 0.325)
Th (0.660, 0.660, 0.675)
Zn (0.376, 0.376, 0.710)
Zn (0.624, 0.624, 0.290)
Cu (0.069, 0.069, 0.402)
Cu (0.279, 0.279, 0.946)
Cu (0.721, 0.721, 0.054)
Cu (0.931, 0.931, 0.598)

=====

[7]
The following is a PBE-GGA calculation of a relaxed structure of NaLiLaIn, from the Alexandria database.

Cell: 7.390 7.390 7.390 Å, 90.00 90.00 90.00°
Positions (direct):
Na (0.000, 0.000, 0.000)
Na (0.000, 0.500, 0.500)
Na (0.500, 0.000, 0.500)
Na (0.500, 0.500, 0.000)
Li (0.000, 0.000, 0.500)
Li (0.000, 0.500, 0.000)
Li (0.500, 0.000, 0.000)
Li (0.500, 0.500, 0.500)
La (0.250, 0.250, 0.250)
La (0.250, 0.750, 0.750)
La (0.750, 0.250, 0.750)
La (0.750, 0.750, 0.250)
In (0.250, 0.250, 0.750)
In (0.250, 0.750, 0.250)
In (0.750, 0.250, 0.250)
In (0.750, 0.750, 0.750)

=====

[8]
The following is a PBE-GGA calculation of a relaxed structure of Rb2BiSe3, from the Alexandria database.

- Formation energy (no corrections): -0.645 eV/atom

Cell: 4.095 6.487 15.596 Å, 90.00 90.00 90.00°
Positions (direct):
Rb (0.000, 0.000, 0.177)
Rb (0.000, 0.000, 0.823)
Rb (0.500, 0.500, 0.323)
Rb (0.500, 0.500, 0.677)
Bi (0.000, 0.000, 0.500)
Bi (0.500, 0.500, 0.000)
Se (0.000, 0.500, 0.132)
Se (0.000, 0.500, 0.500)
Se (0.000, 0.500, 0.868)
Se (0.500, 0.000, 0.000)
Se (0.500, 0.000, 0.368)
Se (0.500, 0.000, 0.632)

=====

[9]
The following is a PBE-GGA calculation of a relaxed structure of NdCd7Pd5, from the Alexandria database.

Cell: 7.332 7.332 7.332 Å, 134.23 98.62 98.77°
Positions (direct):
Nd (0.000, 0.000, 0.000)
Cd (0.142, 0.439, 0.703)
Cd (0.266, 0.925, 0.341)
Cd (0.321, 0.321, 0.000)
Cd (0.585, 0.925, 0.659)
Cd (0.637, 0.637, 0.000)
Cd (0.707, 0.207, 0.500)
Cd (0.737, 0.439, 0.297)
Pd (0.160, 0.660, 0.500)
Pd (0.429, 0.428, 0.490)
Pd (0.429, 0.940, 0.001)
Pd (0.938, 0.428, 0.999)
Pd (0.938, 0.940, 0.510)

=====

Number 1: raw total energy -0.3602 Ry/atom, calculated volume 245.40 Å³/cell. Number 2: raw total energy -0.6502 Ry/atom, calculated volume 263.49 Å³/cell. Number 3: raw total energy -0.3154 Ry/atom, calculated volume 220.12 Å³/cell. Number 4: raw total energy -0.4142 Ry/atom, calculated volume 1199.36 Å³/cell. Number 5: raw total energy -0.2191 Ry/atom, calculated volume 125.22 Å³/cell. Number 6: raw total energy -0.3526 Ry/atom, calculated volume 180.49 Å³/cell. Number 7: raw total energy -0.2109 Ry/atom, calculated volume 403.54 Å³/cell. Number 8: raw total energy -0.2467 Ry/atom, calculated volume 414.31 Å³/cell. Number 9: raw total energy -0.2393 Ry/atom, calculated volume 260.20 Å³/cell.